# Ru2Rh GGA-PBE relaxed
data_Ru2Rh
_chemical_formula_sum 'Ru8 Rh4'
_cell_length_a 4.034
_cell_length_b 17.014
_cell_length_c 2.686
_cell_angle_alpha 90.00
_cell_angle_beta 90.00
_cell_angle_gamma 90.00
_symmetry_space_group_name_H-M 'P 1'
_symmetry_Int_Tables_number 1
loop_
_symmetry_equiv_pos_as_xyz
'x,y,z'
loop_
_atom_site_label
_atom_site_type_symbol
_atom_site_fract_x
_atom_site_fract_y
_atom_site_fract_z
_atom_site_occupancy
Rh1 Rh 0.750 0.379 0.000 1
Rh2 Rh 0.250 0.621 0.000 1
Rh3 Rh 0.750 0.121 0.500 1
Rh4 Rh 0.250 0.879 0.500 1
Ru1 Ru 0.250 0.189 0.000 1
Ru2 Ru 0.750 0.689 0.500 1
Ru3 Ru 0.750 0.538 0.500 1
Ru4 Ru 0.750 0.811 0.000 1
Ru5 Ru 0.250 0.462 0.500 1
Ru6 Ru 0.750 0.962 0.000 1
Ru7 Ru 0.250 0.038 0.000 1
Ru8 Ru 0.250 0.311 0.500 1
# * energy of formation from the pure elements: 0.4158 eV per atom
# * symmetry: Imma
# * E above lowest polymorph: 422 meV per atom
# * E_tot: -98.623 eV/cell



# RuRh2 GGA-PBE relaxed
data_RuRh2
_chemical_formula_sum 'Ru2 Rh4'
_cell_length_a 5.156
_cell_length_b 5.156
_cell_length_c 10.445
_cell_angle_alpha 140.63
_cell_angle_beta 140.63
_cell_angle_gamma 30.61
_symmetry_space_group_name_H-M 'P 1'
_symmetry_Int_Tables_number 1
loop_
_symmetry_equiv_pos_as_xyz
'x,y,z'
loop_
_atom_site_label
_atom_site_type_symbol
_atom_site_fract_x
_atom_site_fract_y
_atom_site_fract_z
_atom_site_occupancy
Rh1 Rh 0.004 0.004 0.005 1
Rh2 Rh 0.440 0.440 0.384 1
Rh3 Rh 0.332 0.332 0.663 1
Rh4 Rh 0.112 0.112 0.726 1
Ru1 Ru 0.662 0.662 0.332 1
Ru2 Ru 0.782 0.782 0.057 1
# * energy of formation from the pure elements: 0.0124 eV per atom
# * symmetry: C2/m
# * E above lowest polymorph: 1 meV per atom
# * E_tot: -47.883 eV/cell



# RuRh2 GGA-PBE relaxed
data_RuRh2
_chemical_formula_sum 'Ru1 Rh2'
_cell_length_a 4.327
_cell_length_b 4.327
_cell_length_c 2.663
_cell_angle_alpha 90.00
_cell_angle_beta 90.00
_cell_angle_gamma 120.00
_symmetry_space_group_name_H-M 'P 1'
_symmetry_Int_Tables_number 1
loop_
_symmetry_equiv_pos_as_xyz
'x,y,z'
loop_
_atom_site_label
_atom_site_type_symbol
_atom_site_fract_x
_atom_site_fract_y
_atom_site_fract_z
_atom_site_occupancy
Rh1 Rh 0.667 0.333 0.834 1
Rh2 Rh 0.000 0.000 0.833 1
Ru1 Ru 0.333 0.667 0.333 1
# * energy of formation from the pure elements: 0.2543 eV per atom
# * symmetry: P6/mmm
# * E above lowest polymorph: 243 meV per atom
# * E_tot: -23.216 eV/cell